1.
Material: TaTlZnCo
Method: DFT, PBE
State: relaxed

Properties
- Crystal system: cubic
- SG: No. 216
- Spin magnetization: 0.0 μB per cell
- Energy: -5.25 eV per atom

```
data_TaTlZnCo
_symmetry_space_group_name_H-M 'P 1'
_symmetry_Int_Tables_number 1
_cell_length_a 4.492
_cell_length_b 4.492
_cell_length_c 4.492
_cell_angle_alpha 60.00
_cell_angle_beta 60.00
_cell_angle_gamma 60.00
loop_
_symmetry_equiv_pos_as_xyz
'x,y,z'
loop_
_atom_site_label
_atom_site_type_symbol
_atom_site_fract_x
_atom_site_fract_y
_atom_site_fract_z
_atom_site_occupancy
Co1 Co 0.750 0.750 0.750 1
Ta1 Ta 0.500 0.500 0.500 1
Tl1 Tl 0.000 0.000 0.000 1
Zn1 Zn 0.250 0.250 0.250 1
```

2.
Material: NdSi2Ni
Method: DFT, PBE
State: relaxed

Properties
- Crystal system: orthorhombic
- SG: No. 31
- Spin magnetization: 0.0 μB per cell
- Energy: -5.89 eV per atom

```
data_NdSi2Ni
_symmetry_space_group_name_H-M 'P 1'
_symmetry_Int_Tables_number 1
_cell_length_a 3.992
_cell_length_b 5.984
_cell_length_c 5.818
_cell_angle_alpha 90.00
_cell_angle_beta 90.00
_cell_angle_gamma 90.00
loop_
_symmetry_equiv_pos_as_xyz
'x,y,z'
loop_
_atom_site_label
_atom_site_type_symbol
_atom_site_fract_x
_atom_site_fract_y
_atom_site_fract_z
_atom_site_occupancy
Nd1 Nd 0.000 0.395 0.131 1
Nd2 Nd 0.500 0.605 0.631 1
Ni1 Ni 0.000 0.912 0.324 1
Ni2 Ni 0.500 0.088 0.824 1
Si1 Si 0.500 0.786 0.143 1
Si2 Si 0.500 0.120 0.402 1
Si3 Si 0.000 0.214 0.643 1
Si4 Si 0.000 0.880 0.902 1
```

3.
Material: HfScGa2Pt4
Method: DFT, PBE
State: relaxed

Properties
- Crystal system: hexagonal
- SG: No. 187
- Spin magnetization: 0.0 μB per cell
- Energy: -6.84 eV per atom

```
data_HfScGa2Pt4
_symmetry_space_group_name_H-M 'P 1'
_symmetry_Int_Tables_number 1
_cell_length_a 4.304
_cell_length_b 4.304
_cell_length_c 8.677
_cell_angle_alpha 90.00
_cell_angle_beta 90.00
_cell_angle_gamma 120.00
loop_
_symmetry_equiv_pos_as_xyz
'x,y,z'
loop_
_atom_site_label
_atom_site_type_symbol
_atom_site_fract_x
_atom_site_fract_y
_atom_site_fract_z
_atom_site_occupancy
Ga1 Ga 0.333 0.667 0.261 1
Ga2 Ga 0.333 0.667 0.739 1
Hf1 Hf 0.000 0.000 0.000 1
Pt1 Pt 0.667 0.333 0.158 1
Pt2 Pt 0.000 0.000 0.336 1
Pt3 Pt 0.000 0.000 0.664 1
Pt4 Pt 0.667 0.333 0.842 1
Sc1 Sc 0.667 0.333 0.500 1
```

4.
Material: CsCoGeSe3
Method: DFT, PBE
State: relaxed

Properties
- Crystal system: monoclinic
- SG: No. 11
- Spin magnetization: 0.0 μB per cell
- Energy: -4.33 eV per atom

```
data_CsCoGeSe3
_symmetry_space_group_name_H-M 'P 1'
_symmetry_Int_Tables_number 1
_cell_length_a 8.957
_cell_length_b 3.765
_cell_length_c 10.645
_cell_angle_alpha 90.00
_cell_angle_beta 114.02
_cell_angle_gamma 90.00
loop_
_symmetry_equiv_pos_as_xyz
'x,y,z'
loop_
_atom_site_label
_atom_site_type_symbol
_atom_site_fract_x
_atom_site_fract_y
_atom_site_fract_z
_atom_site_occupancy
Co1 Co 0.626 0.750 0.148 1
Co2 Co 0.374 0.250 0.852 1
Cs1 Cs 0.223 0.750 0.261 1
Cs2 Cs 0.777 0.250 0.739 1
Ge1 Ge 0.874 0.250 0.442 1
Ge2 Ge 0.126 0.750 0.558 1
Se1 Se 0.438 0.250 0.088 1
Se2 Se 0.825 0.250 0.197 1
Se3 Se 0.661 0.750 0.394 1
Se4 Se 0.339 0.250 0.606 1
Se5 Se 0.175 0.750 0.803 1
Se6 Se 0.562 0.750 0.912 1
```

5.
Material: CdMoAs2
Method: DFT, PBE
State: relaxed

Properties
- Crystal system: cubic
- SG: No. 216
- Spin magnetization: 1.7 μB per cell
- Energy: -4.55 eV per atom

```
data_CdMoAs2
_symmetry_space_group_name_H-M 'P 1'
_symmetry_Int_Tables_number 1
_cell_length_a 4.689
_cell_length_b 4.689
_cell_length_c 4.689
_cell_angle_alpha 60.00
_cell_angle_beta 60.00
_cell_angle_gamma 60.00
loop_
_symmetry_equiv_pos_as_xyz
'x,y,z'
loop_
_atom_site_label
_atom_site_type_symbol
_atom_site_fract_x
_atom_site_fract_y
_atom_site_fract_z
_atom_site_occupancy
As1 As 0.000 0.000 0.000 1
As2 As 0.250 0.250 0.250 1
Cd1 Cd 0.500 0.500 0.500 1
Mo1 Mo 0.750 0.750 0.750 1
```

6.
Material: Nd2YIn3AgPt2
Method: DFT, PBE
State: relaxed

Properties
- Crystal system: orthorhombic
- SG: No. 38
- Spin magnetization: 0.0 μB per cell
- Energy: -5.15 eV per atom

```
data_Nd2YIn3AgPt2
_symmetry_space_group_name_H-M 'P 1'
_symmetry_Int_Tables_number 1
_cell_length_a 3.922
_cell_length_b 7.874
_cell_length_c 7.874
_cell_angle_alpha 119.86
_cell_angle_beta 90.00
_cell_angle_gamma 90.00
loop_
_symmetry_equiv_pos_as_xyz
'x,y,z'
loop_
_atom_site_label
_atom_site_type_symbol
_atom_site_fract_x
_atom_site_fract_y
_atom_site_fract_z
_atom_site_occupancy
Ag1 Ag 0.000 0.998 0.998 1
In1 In 0.500 0.266 0.266 1
In2 In 0.500 0.997 0.735 1
In3 In 0.500 0.735 0.997 1
Nd1 Nd 0.000 0.412 0.000 1
Nd2 Nd 0.000 0.000 0.412 1
Pt1 Pt 0.500 0.665 0.337 1
Pt2 Pt 0.500 0.337 0.665 1
Y1 Y 0.000 0.588 0.588 1
```

7.
Material: TmLuFe2Ge2C
Method: DFT, PBE
State: relaxed

Properties
- Crystal system: monoclinic
- SG: No. 8
- Spin magnetization: 0.0 μB per cell
- Energy: -6.90 eV per atom

```
data_TmLuFe2Ge2C
_symmetry_space_group_name_H-M 'P 1'
_symmetry_Int_Tables_number 1
_cell_length_a 5.627
_cell_length_b 5.627
_cell_length_c 6.688
_cell_angle_alpha 125.46
_cell_angle_beta 125.46
_cell_angle_gamma 40.73
loop_
_symmetry_equiv_pos_as_xyz
'x,y,z'
loop_
_atom_site_label
_atom_site_type_symbol
_atom_site_fract_x
_atom_site_fract_y
_atom_site_fract_z
_atom_site_occupancy
C1 C 0.001 0.001 0.002 1
Fe1 Fe 0.198 0.198 0.092 1
Fe2 Fe 0.803 0.803 0.909 1
Ge1 Ge 0.839 0.839 0.296 1
Ge2 Ge 0.160 0.160 0.703 1
Lu1 Lu 0.556 0.556 0.286 1
Tm1 Tm 0.443 0.443 0.712 1
```

8.
Material: GaReTe
Method: DFT, PBE
State: relaxed

Properties
- Crystal system: cubic
- SG: No. 216
- Spin magnetization: 0.0 μB per cell
- Energy: -5.66 eV per atom

```
data_GaReTe
_symmetry_space_group_name_H-M 'P 1'
_symmetry_Int_Tables_number 1
_cell_length_a 4.441
_cell_length_b 4.441
_cell_length_c 4.441
_cell_angle_alpha 60.00
_cell_angle_beta 60.00
_cell_angle_gamma 60.00
loop_
_symmetry_equiv_pos_as_xyz
'x,y,z'
loop_
_atom_site_label
_atom_site_type_symbol
_atom_site_fract_x
_atom_site_fract_y
_atom_site_fract_z
_atom_site_occupancy
Ga1 Ga 0.250 0.250 0.250 1
Re1 Re 0.000 0.000 0.000 1
Te1 Te 0.750 0.750 0.750 1
```

9.
Material: Tl2TePt2
Method: DFT, PBE
State: relaxed

Properties
- Crystal system: tetragonal
- SG: No. 139
- Spin magnetization: 0.0 μB per cell
- Energy: -3.78 eV per atom

```
data_Tl2TePt2
_symmetry_space_group_name_H-M 'P 1'
_symmetry_Int_Tables_number 1
_cell_length_a 6.886
_cell_length_b 6.886
_cell_length_c 6.886
_cell_angle_alpha 143.38
_cell_angle_beta 143.38
_cell_angle_gamma 52.76
loop_
_symmetry_equiv_pos_as_xyz
'x,y,z'
loop_
_atom_site_label
_atom_site_type_symbol
_atom_site_fract_x
_atom_site_fract_y
_atom_site_fract_z
_atom_site_occupancy
Pt1 Pt 0.394 0.394 0.000 1
Pt2 Pt 0.606 0.606 0.000 1
Te1 Te 0.000 0.000 0.000 1
Tl1 Tl 0.750 0.250 0.500 1
Tl2 Tl 0.250 0.750 0.500 1
```

10.
Material: PrHoH4
Method: DFT, PBE
State: relaxed

Properties
- Crystal system: tetragonal
- SG: No. 123
- Spin magnetization: 0.0 μB per cell
- Energy: -4.46 eV per atom

```
data_PrHoH4
_symmetry_space_group_name_H-M 'P 1'
_symmetry_Int_Tables_number 1
_cell_length_a 3.738
_cell_length_b 3.738
_cell_length_c 5.384
_cell_angle_alpha 90.00
_cell_angle_beta 90.00
_cell_angle_gamma 90.00
loop_
_symmetry_equiv_pos_as_xyz
'x,y,z'
loop_
_atom_site_label
_atom_site_type_symbol
_atom_site_fract_x
_atom_site_fract_y
_atom_site_fract_z
_atom_site_occupancy
H1 H 0.500 0.000 0.229 1
H2 H 0.000 0.500 0.229 1
H3 H 0.500 0.000 0.771 1
H4 H 0.000 0.500 0.771 1
Ho1 Ho 0.000 0.000 0.000 1
Pr1 Pr 0.500 0.500 0.500 1
```

11.
Material: BaTmSc
Method: DFT, PBE
State: relaxed

Properties
- Crystal system: cubic
- SG: No. 216
- Spin magnetization: 0.0 μB per cell
- Energy: -3.18 eV per atom

```
data_BaTmSc
_symmetry_space_group_name_H-M 'P 1'
_symmetry_Int_Tables_number 1
_cell_length_a 5.359
_cell_length_b 5.359
_cell_length_c 5.359
_cell_angle_alpha 60.00
_cell_angle_beta 60.00
_cell_angle_gamma 60.00
loop_
_symmetry_equiv_pos_as_xyz
'x,y,z'
loop_
_atom_site_label
_atom_site_type_symbol
_atom_site_fract_x
_atom_site_fract_y
_atom_site_fract_z
_atom_site_occupancy
Ba1 Ba 0.000 0.000 0.000 1
Sc1 Sc 0.250 0.250 0.250 1
Tm1 Tm 0.750 0.750 0.750 1
```

12.
Material: Sc3AuN
Method: DFT, PBE
State: relaxed

Properties
- Crystal system: monoclinic
- SG: No. 15
- Spin magnetization: 0.0 μB per cell
- Energy: -7.31 eV per atom

```
data_Sc3AuN
_symmetry_space_group_name_H-M 'P 1'
_symmetry_Int_Tables_number 1
_cell_length_a 6.245
_cell_length_b 6.245
_cell_length_c 6.168
_cell_angle_alpha 119.59
_cell_angle_beta 119.59
_cell_angle_gamma 59.19
loop_
_symmetry_equiv_pos_as_xyz
'x,y,z'
loop_
_atom_site_label
_atom_site_type_symbol
_atom_site_fract_x
_atom_site_fract_y
_atom_site_fract_z
_atom_site_occupancy
Au1 Au 0.249 0.751 0.250 1
Au2 Au 0.751 0.249 0.750 1
N1 N 0.500 0.000 0.000 1
N2 N 0.000 0.500 0.500 1
Sc1 Sc 0.201 0.303 0.201 1
Sc2 Sc 0.755 0.245 0.250 1
Sc3 Sc 0.697 0.799 0.299 1
Sc4 Sc 0.303 0.201 0.701 1
Sc5 Sc 0.245 0.755 0.750 1
Sc6 Sc 0.799 0.697 0.799 1
```